(1)
TmScCoHg | PBE | relaxed

Structure (POSCAR):
```
TmScCoHg
1.0
-3.054 0.371 1.199
0.630 -2.275 2.308
2.392 5.208 4.482
Sc Hg Tm Co
1 1 1 1
Direct
0.500 0.500 0.356 Sc
0.000 0.000 0.088 Hg
0.500 0.500 0.787 Tm
0.000 0.000 0.554 Co
```

Energy of formation from the pure elements, meV per atom: -381
Total moment, μB per formula unit: 0.3
Total DFT energy (no corrections), hartree per atom: -0.1813
Excess energy over the best structure of this formula in the dataset, meV/atom: 0

(2)
TmScCoHg | PBE | relaxed

Structure (POSCAR):
```
TmScCoHg
1.0
-2.646 -0.405 4.044
2.179 -0.856 4.248
0.182 3.477 3.376
Tm Sc Co Hg
1 1 1 1
Direct
0.500 0.500 0.500 Tm
0.000 0.000 0.000 Sc
0.750 0.750 0.750 Co
0.250 0.250 0.250 Hg
```

Energy of formation from the pure elements, meV per atom: -250
Total moment, μB per formula unit: 0.6
Total DFT energy (no corrections), hartree per atom: -0.1765
Excess energy over the best structure of this formula in the dataset, meV/atom: 131

(3)
ScCoHgW2 | PBE | relaxed

Structure (POSCAR):
```
ScCoHgW2
1.0
4.739 0.000 0.000
0.000 4.287 0.000
0.000 0.000 4.739
Sc Hg W Co
1 1 2 1
Direct
0.000 0.000 0.000 Sc
0.500 0.500 0.500 Hg
0.000 0.000 0.500 W
0.500 0.000 0.000 W
0.000 0.500 0.000 Co
```

Energy of formation from the pure elements, meV per atom: 2083
Total moment, μB per formula unit: 0.0
Total DFT energy (no corrections), hartree per atom: -0.2148

(4)
YScCoHg | PBE | relaxed

Structure (POSCAR):
```
YScCoHg
1.0
-2.851 -2.974 -2.647
2.014 -3.127 -3.185
-0.050 -4.808 0.926
Sc Co Hg Y
1 1 1 1
Direct
0.250 0.250 0.250 Sc
0.000 0.000 0.000 Co
0.500 0.500 0.500 Hg
0.750 0.750 0.750 Y
```

Energy of formation from the pure elements, meV per atom: -228
Total moment, μB per formula unit: 0.6
Total DFT energy (no corrections), hartree per atom: -0.1940

(5)
YSc2CoHg | PBE | relaxed

Structure (POSCAR):
```
YSc2CoHg
1.0
4.817 0.000 0.000
0.000 4.817 0.000
0.000 0.000 5.195
Hg Co Sc Y
1 1 2 1
Direct
0.500 0.500 0.500 Hg
0.000 0.000 0.000 Co
0.000 0.500 0.000 Sc
0.500 0.000 0.000 Sc
0.000 0.000 0.500 Y
```

Energy of formation from the pure elements, meV per atom: -144
Total moment, μB per formula unit: 0.0
Total DFT energy (no corrections), hartree per atom: -0.2003

(6)
Y2ScCoHg | PBE | relaxed

Structure (POSCAR):
```
Y2ScCoHg
1.0
5.225 0.000 0.000
0.000 5.225 0.000
0.000 0.000 4.730
Hg Co Sc Y
1 1 1 2
Direct
0.500 0.500 0.500 Hg
0.000 0.000 0.000 Co
0.000 0.000 0.500 Sc
0.000 0.500 0.000 Y
0.500 0.000 0.000 Y
```

Energy of formation from the pure elements, meV per atom: -147
Total moment, μB per formula unit: 0.0
Total DFT energy (no corrections), hartree per atom: -0.2014

(7)
ZrScCoHg | PBE | relaxed

Structure (POSCAR):
```
ZrScCoHg
1.0
-1.350 1.588 2.413
2.353 -0.941 1.935
3.868 6.002 -1.785
Hg Co Zr Sc
1 1 1 1
Direct
0.000 0.000 0.079 Hg
0.000 0.000 0.568 Co
0.500 0.500 0.780 Zr
0.500 0.500 0.357 Sc
```

Energy of formation from the pure elements, meV per atom: -302
Total moment, μB per formula unit: 0.0
Total DFT energy (no corrections), hartree per atom: -0.2158
Excess energy over the best structure of this formula in the dataset, meV/atom: 0

(8)
ZrScCoHg | PBE | relaxed

Structure (POSCAR):
```
ZrScCoHg
1.0
-4.111 1.987 -1.352
-3.428 -2.692 -1.918
-3.988 -0.878 2.450
Hg Co Zr Sc
1 1 1 1
Direct
0.250 0.250 0.250 Hg
0.750 0.750 0.750 Co
0.500 0.500 0.500 Zr
0.000 0.000 0.000 Sc
```

Energy of formation from the pure elements, meV per atom: -156
Total moment, μB per formula unit: 0.7
Total DFT energy (no corrections), hartree per atom: -0.2105
Excess energy over the best structure of this formula in the dataset, meV/atom: 146

(9)
CoHgSe2 | PBE | relaxed

Structure (POSCAR):
```
CoHgSe2
1.0
-0.783 -2.639 2.286
0.456 -3.124 -3.451
4.541 -0.464 1.020
Co Se Hg
1 2 1
Direct
0.500 0.500 0.000 Co
0.000 0.000 0.000 Se
0.000 0.500 0.500 Se
0.500 0.000 0.500 Hg
```

Raw formation energy, eV per formula unit: 2.39
Total moment, μB per formula unit: 2.1
Total DFT energy (no corrections), hartree per atom: -0.1101

(10)
CoHgSe2 | PBE | relaxed

Structure (POSCAR):
```
CoHgSe2
1.0
-3.131 9.307 -0.936
-4.642 7.458 -4.487
2.131 -8.828 3.850
Se Hg Co
2 1 1
Direct
0.647 0.147 0.500 Se
0.989 0.989 0.000 Se
0.314 0.814 0.500 Hg
0.551 0.551 0.000 Co
```

Raw formation energy, eV per formula unit: -0.13
Total moment, μB per formula unit: 0.0
Total DFT energy (no corrections), hartree per atom: -0.1332

(11)
Co4HgSe8 | PBE | relaxed

Structure (POSCAR):
```
Co4HgSe8
1.0
-4.392 -5.231 0.910
0.748 -4.229 5.389
-5.504 1.112 6.067
Se Hg Co
8 1 4
Direct
0.728 0.728 0.816 Se
0.272 0.272 0.184 Se
0.722 0.229 0.822 Se
0.229 0.722 0.822 Se
0.771 0.771 0.178 Se
0.278 0.771 0.178 Se
0.771 0.278 0.178 Se
0.229 0.229 0.822 Se
0.500 0.500 0.500 Hg
0.500 0.500 0.000 Co
0.000 0.500 0.000 Co
0.000 0.000 0.000 Co
0.500 0.000 0.000 Co
```

Raw formation energy, eV per formula unit: -3.11
Total moment, μB per formula unit: 0.0
Total DFT energy (no corrections), hartree per atom: -0.1688

(12)
CoHgSe2 | PBE | relaxed

Structure (POSCAR):
```
CoHgSe2
1.0
-4.399 -0.251 4.487
-5.677 -2.636 -0.606
6.250 -0.618 -0.329
Se Hg Co
2 1 1
Direct
0.603 0.603 0.000 Se
0.897 0.897 0.000 Se
0.250 0.750 0.500 Hg
0.750 0.250 0.500 Co
```

Raw formation energy, eV per formula unit: 0.11
Total moment, μB per formula unit: 0.9
Total DFT energy (no corrections), hartree per atom: -0.1311

(13)
CoHgSe2 | PBE | relaxed

Structure (POSCAR):
```
CoHgSe2
1.0
3.588 -0.004 0.001
1.970 2.999 0.001
0.417 0.225 7.959
Co Hg Se
1 1 2
Direct
0.250 0.250 0.250 Co
0.750 0.750 0.750 Hg
0.563 0.563 0.405 Se
0.937 0.937 0.095 Se
```

Raw formation energy, eV per formula unit: -0.75
Total moment, μB per formula unit: 0.0
Total DFT energy (no corrections), hartree per atom: -0.1390

(14)
CoHgSe2 | PBE | relaxed

Structure (POSCAR):
```
CoHgSe2
1.0
-0.057 -2.279 -5.580
5.882 -1.240 0.446
1.751 -6.560 -0.594
Co Se Hg
2 4 2
Direct
0.250 0.750 0.500 Co
0.500 0.500 0.000 Co
0.201 0.625 0.250 Se
0.549 0.125 0.250 Se
0.375 0.451 0.750 Se
0.875 0.799 0.750 Se
0.750 0.250 0.500 Hg
0.000 0.000 0.000 Hg
```

Raw formation energy, eV per formula unit: -0.36
Total moment, μB per formula unit: 0.6
Total DFT energy (no corrections), hartree per atom: -0.1354

(15)
CoHgSe2 | PBE | relaxed

Structure (POSCAR):
```
CoHgSe2
1.0
-0.294 2.322 1.767
-1.499 -1.645 1.911
7.820 -2.222 4.221
Se Hg Co
2 1 1
Direct
0.000 0.000 0.990 Se
0.500 0.500 0.339 Se
0.500 0.500 0.703 Hg
0.000 0.000 0.469 Co
```

Raw formation energy, eV per formula unit: 0.64
Total moment, μB per formula unit: 0.0
Total DFT energy (no corrections), hartree per atom: -0.1262

(16)
CoHgSe2 | PBE | relaxed

Structure (POSCAR):
```
CoHgSe2
1.0
-3.334 1.060 -0.455
-1.067 -4.262 -2.109
-1.848 -4.460 3.153
Se Hg Co
2 1 1
Direct
0.000 0.056 0.107 Se
0.000 0.444 0.393 Se
0.500 0.750 0.750 Hg
0.500 0.250 0.250 Co
```

Raw formation energy, eV per formula unit: -0.44
Total moment, μB per formula unit: 0.0
Total DFT energy (no corrections), hartree per atom: -0.1361

(17)
CoHgSe2 | PBE | relaxed

Structure (POSCAR):
```
CoHgSe2
1.0
-2.471 0.644 4.051
-4.695 -0.933 0.115
-1.630 -3.785 2.438
Co Se Hg
1 2 1
Direct
0.500 0.500 0.500 Co
0.000 0.000 0.000 Se
0.750 0.750 0.750 Se
0.250 0.250 0.250 Hg
```

Raw formation energy, eV per formula unit: 2.80
Total moment, μB per formula unit: 1.9
Total DFT energy (no corrections), hartree per atom: -0.1064

(18)
Co2HgSe2 | PBE | relaxed

Structure (POSCAR):
```
Co2HgSe2
1.0
3.698 0.000 0.000
0.000 3.698 0.000
1.849 1.849 8.296
Se Co Hg
2 2 1
Direct
0.334 0.334 0.333 Se
0.666 0.666 0.667 Se
0.250 0.750 0.500 Co
0.750 0.250 0.500 Co
0.000 0.000 0.000 Hg
```

Raw formation energy, eV per formula unit: -1.03
Total moment, μB per formula unit: 0.8
Total DFT energy (no corrections), hartree per atom: -0.1654
Excess energy over the best structure of this formula in the dataset, meV/atom: 0

(19)
CoHgSe2 | PBE | relaxed

Structure (POSCAR):
```
CoHgSe2
1.0
2.980 -0.011 0.000
-0.559 2.927 0.000
0.000 0.000 9.757
Se Co Hg
2 1 1
Direct
0.000 0.000 0.093 Se
0.000 0.000 0.407 Se
0.500 0.500 0.250 Co
0.500 0.500 0.750 Hg
```

Raw formation energy, eV per formula unit: 0.43
Total moment, μB per formula unit: 0.2
Total DFT energy (no corrections), hartree per atom: -0.1281

(20)
Co2HgSe2 | PBE | relaxed

Structure (POSCAR):
```
Co2HgSe2
1.0
-1.558 -3.530 -1.834
2.312 -2.406 2.668
-3.305 -2.991 3.587
Hg Co Se
1 2 2
Direct
0.000 0.000 0.000 Hg
0.366 0.366 0.268 Co
0.634 0.634 0.732 Co
0.250 0.750 0.500 Se
0.750 0.250 0.500 Se
```

Raw formation energy, eV per formula unit: 1.45
Total moment, μB per formula unit: 0.0
Total DFT energy (no corrections), hartree per atom: -0.1472
Excess energy over the best structure of this formula in the dataset, meV/atom: 496

(21)
Co4HgSe | PBE | relaxed

Structure (POSCAR):
```
Co4HgSe
1.0
0.000 3.498 3.498
3.498 0.000 3.498
3.498 3.498 0.000
Co Se Hg
4 1 1
Direct
0.375 0.375 0.876 Co
0.876 0.375 0.375 Co
0.375 0.375 0.375 Co
0.375 0.876 0.375 Co
0.000 0.000 0.000 Se
0.750 0.750 0.750 Hg
```

Raw formation energy, eV per formula unit: 2.76
Total moment, μB per formula unit: 6.9
Total DFT energy (no corrections), hartree per atom: -0.1804

(22)
CoHgSe2 | PBE | relaxed

Structure (POSCAR):
```
CoHgSe2
1.0
-0.442 1.765 3.246
0.056 -4.303 2.348
5.242 -0.507 0.989
Se Hg Co
2 1 1
Direct
0.500 0.348 0.332 Se
0.000 0.048 0.887 Se
0.500 0.711 0.728 Hg
0.000 0.393 0.553 Co
```

Raw formation energy, eV per formula unit: 0.26
Total moment, μB per formula unit: 0.0
Total DFT energy (no corrections), hartree per atom: -0.1297

(23)
CoHgSe2 | PBE | relaxed

Structure (POSCAR):
```
CoHgSe2
1.0
-2.460 -1.986 1.299
0.335 -2.694 -3.482
3.512 -2.742 2.459
Se Co Hg
2 1 1
Direct
0.000 0.000 0.000 Se
0.500 0.500 0.000 Se
0.500 0.000 0.500 Co
0.000 0.500 0.500 Hg
```

Raw formation energy, eV per formula unit: 2.48
Total moment, μB per formula unit: 1.5
Total DFT energy (no corrections), hartree per atom: -0.1093

(24)
CoHgSe2 | PBE | relaxed

Structure (POSCAR):
```
CoHgSe2
1.0
-0.904 -8.029 -0.170
3.006 -6.836 3.089
-2.749 7.582 0.523
Hg Se Co
1 2 1
Direct
0.750 0.250 0.500 Hg
0.250 0.750 0.500 Se
0.000 0.000 0.000 Se
0.500 0.500 0.000 Co
```

Raw formation energy, eV per formula unit: 1.68
Total moment, μB per formula unit: 2.5
Total DFT energy (no corrections), hartree per atom: -0.1166

(25)
CoHgSe3 | PBE | relaxed

Structure (POSCAR):
```
CoHgSe3
1.0
-3.740 0.373 2.922
2.903 -0.329 3.759
0.497 4.735 0.031
Hg Co Se
1 1 3
Direct
0.500 0.500 0.500 Hg
0.000 0.000 0.000 Co
0.000 0.500 0.000 Se
0.500 0.000 0.000 Se
0.000 0.000 0.500 Se
```

Raw formation energy, eV per formula unit: 1.69
Total moment, μB per formula unit: 1.6
Total DFT energy (no corrections), hartree per atom: -0.1188
Excess energy over the best structure of this formula in the dataset, meV/atom: 0

(26)
CoHgSe2 | PBE | relaxed

Structure (POSCAR):
```
CoHgSe2
1.0
5.112 -3.224 5.585
4.687 -5.935 3.245
7.079 -3.323 2.564
Hg Co Se
1 1 2
Direct
0.000 0.000 0.000 Hg
0.500 0.500 0.500 Co
0.118 0.118 0.118 Se
0.882 0.882 0.882 Se
```

Raw formation energy, eV per formula unit: -0.77
Total moment, μB per formula unit: 0.0
Total DFT energy (no corrections), hartree per atom: -0.1392

(27)
CoHgSe2 | PBE | relaxed

Structure (POSCAR):
```
CoHgSe2
1.0
5.892 0.016 -0.045
4.842 3.356 -0.045
1.154 0.362 5.000
Se Hg Co
2 1 1
Direct
0.848 0.848 0.692 Se
0.011 0.011 0.124 Se
0.220 0.220 0.269 Hg
0.422 0.422 0.414 Co
```

Raw formation energy, eV per formula unit: -0.13
Total moment, μB per formula unit: 0.9
Total DFT energy (no corrections), hartree per atom: -0.1332

(28)
CoHgSe2 | PBE | relaxed

Structure (POSCAR):
```
CoHgSe2
1.0
4.734 0.031 0.000
-1.406 4.520 0.000
0.000 0.000 3.709
Hg Co Se
1 1 2
Direct
0.000 0.500 0.500 Hg
0.500 0.000 0.500 Co
0.500 0.500 0.000 Se
0.000 0.000 0.000 Se
```

Raw formation energy, eV per formula unit: 2.13
Total moment, μB per formula unit: 2.2
Total DFT energy (no corrections), hartree per atom: -0.1125

(29)
CoHgSe2 | PBE | relaxed

Structure (POSCAR):
```
CoHgSe2
1.0
9.302 0.048 0.029
8.713 3.257 0.029
8.713 1.599 2.838
Co Se Hg
1 2 1
Direct
0.505 0.505 0.505 Co
0.218 0.218 0.218 Se
0.014 0.014 0.014 Se
0.764 0.764 0.764 Hg
```

Raw formation energy, eV per formula unit: 0.40
Total moment, μB per formula unit: 0.0
Total DFT energy (no corrections), hartree per atom: -0.1284